No. 1
First-principles (PBE) data for crystalline PrNd2Tm6 at its relaxed geometry, as listed in Alexandria.

final energy = -160.9 eV per cell
DFT formation energy = 0.10 eV per atom
theoretical density = 8.28 g/cm3

Cell lengths 12.8347, 14.0872, 6.5584 Å; angles 90.00, 102.49, 90.00 degrees
Space group C2/c (No. 15)
One atom of each set of equivalent atoms:
Pr: 0.0000 0.1204 0.2500
Nd: 0.1422 0.4721 0.3734
Tm: 0.0334 0.3116 0.9994
Tm: 0.1331 0.0869 0.8180
Tm: 0.2405 0.2971 0.7361


No. 2
First-principles (PBE) data for crystalline PmGa3Ag3 at its relaxed geometry, as listed in Alexandria.

final energy = -42.0 eV per cell
DFT formation energy = 0.20 eV per atom
theoretical density = 6.48 g/cm3

Cell lengths 7.0290, 7.0290, 7.0290 Å; angles 90.00, 90.00, 90.00 degrees
Space group Pm-3n (No. 223)
One atom of each set of equivalent atoms:
Pm: 0.0000 0.0000 0.0000
Ga: 0.0000 0.2500 0.5000
Ag: 0.0000 0.5000 0.2500


What total magnetic moment values result from the calculations? In sequence: 0.00 0.00 Bohr magnetons per cell.